Run A
Below is crystalline In2GaHg2 at its relaxed geometry, with properties calculated at the PBE level.

Unit cell a=4.426 b=4.426 c=14.050 alpha=90.00 beta=90.00 gamma=90.00
Fractional coordinates of all 10 atoms:
In1 0.000 0.500 0.250
In2 0.000 0.500 0.750
In3 0.500 0.000 0.250
In4 0.500 0.000 0.750
Ga1 0.000 0.000 0.000
Ga2 0.500 0.500 0.500
Hg1 0.000 0.000 0.400
Hg2 0.000 0.000 0.600
Hg3 0.500 0.500 0.100
Hg4 0.500 0.500 0.900

---

Run B
Below is crystalline In2GaHg2 at its relaxed geometry, with properties calculated at the PBE level.

Unit cell a=7.918 b=7.918 c=4.219 alpha=90.00 beta=90.00 gamma=90.00
Fractional coordinates of all 10 atoms:
In1 0.147 0.353 0.000
In2 0.353 0.853 0.000
In3 0.647 0.147 0.000
In4 0.853 0.647 0.000
Ga1 0.000 0.000 0.000
Ga2 0.500 0.500 0.000
Hg1 0.158 0.658 0.500
Hg2 0.342 0.158 0.500
Hg3 0.658 0.842 0.500
Hg4 0.842 0.342 0.500

---

Bottom line: run B, by a margin of 65 meV/atom.

---

Run A
Below is crystalline In2GaHg2 at its relaxed geometry, with properties calculated at the PBE level.

Unit cell a=7.932 b=7.932 c=4.179 alpha=90.00 beta=90.00 gamma=90.00
Fractional coordinates of all 10 atoms:
In1 0.161 0.339 0.000
In2 0.339 0.839 0.000
In3 0.661 0.161 0.000
In4 0.839 0.661 0.000
Ga1 0.000 0.000 0.500
Ga2 0.500 0.500 0.500
Hg1 0.144 0.644 0.500
Hg2 0.356 0.144 0.500
Hg3 0.644 0.856 0.500
Hg4 0.856 0.356 0.500

---

Run B
Below is crystalline In2GaHg2 at its relaxed geometry, with properties calculated at the PBE level.

Unit cell a=5.791 b=5.791 c=8.713 alpha=90.00 beta=90.00 gamma=90.00
Fractional coordinates of all 10 atoms:
In1 0.000 0.000 0.166
In2 0.000 0.000 0.834
In3 0.500 0.500 0.334
In4 0.500 0.500 0.666
Ga1 0.000 0.000 0.500
Ga2 0.500 0.500 0.000
Hg1 0.000 0.500 0.250
Hg2 0.000 0.500 0.750
Hg3 0.500 0.000 0.250
Hg4 0.500 0.000 0.750

---

Run C
Below is crystalline In2GaHg2 at its relaxed geometry, with properties calculated at the PBE level.

Unit cell a=4.189 b=4.189 c=15.575 alpha=90.00 beta=90.00 gamma=90.00
Fractional coordinates of all 10 atoms:
In1 0.000 0.000 0.097
In2 0.000 0.000 0.903
In3 0.500 0.500 0.403
In4 0.500 0.500 0.597
Ga1 0.000 0.000 0.500
Ga2 0.500 0.500 0.000
Hg1 0.000 0.500 0.250
Hg2 0.000 0.500 0.750
Hg3 0.500 0.000 0.250
Hg4 0.500 0.000 0.750

---

Bottom line: run A, by a margin of 56 meV/atom.